(1)
Material: Pa4TeC2
Method: DFT, PBE
State: relaxed

a = 13.371 Å, b = 13.371 Å, c = 13.371 Å
α = 15.29°, β = 15.29°, γ = 15.29°
Positions (direct):
Pa: 0.131 0.131 0.131
Pa: 0.273 0.273 0.273
Pa: 0.727 0.727 0.727
Pa: 0.869 0.869 0.869
Te: 0.000 0.000 0.000
C: 0.431 0.431 0.431
C: 0.569 0.569 0.569

Summary:
As for the density: 12.340 g/cm3. The value obtained for the density of states at the Fermi level is 1.5267 states/eV per atom. For the total energy, the calculation gives -8.903 eV per atom. The magnetic moment comes out at 0.00 μB per formula unit. As for the energy relative to the elements, uncorrected: -392 meV/atom.

***

(2)
Material: Pa4Te5C
Method: DFT, PBE
State: relaxed

a = 9.247 Å, b = 9.247 Å, c = 8.321 Å
α = 102.39°, β = 102.39°, γ = 24.60°
Positions (direct):
Pa: 0.004 0.004 0.296
Pa: 0.358 0.358 0.431
Pa: 0.642 0.642 0.569
Pa: 0.996 0.996 0.704
Te: 0.167 0.167 0.852
Te: 0.177 0.177 0.311
Te: 0.500 0.500 0.000
Te: 0.823 0.823 0.689
Te: 0.833 0.833 0.148
C: 0.500 0.500 0.500

Summary:
As for the density: 9.048 g/cm3. The value obtained for the density of states at the Fermi level is 1.1059 states/eV per atom. For the total energy, the calculation gives -6.971 eV per atom. The magnetic moment comes out at 0.68 μB per formula unit. As for the energy relative to the elements, uncorrected: -679 meV/atom.

***

(3)
Material: Pa2TeC
Method: DFT, PBE
State: relaxed

a = 3.705 Å, b = 3.705 Å, c = 22.000 Å
α = 90.00°, β = 90.00°, γ = 120.00°
Positions (direct):
Pa: 0.000 0.000 0.228
Pa: 0.000 0.000 0.772
Pa: 0.333 0.667 0.438
Pa: 0.333 0.667 0.895
Pa: 0.667 0.333 0.105
Pa: 0.667 0.333 0.562
Te: 0.000 0.000 0.000
Te: 0.333 0.667 0.667
Te: 0.667 0.333 0.333
C: 0.000 0.000 0.500
C: 0.333 0.667 0.167
C: 0.667 0.333 0.833

Summary:
As for the density: 11.462 g/cm3. The value obtained for the density of states at the Fermi level is 1.3348 states/eV per atom. For the total energy, the calculation gives -8.453 eV per atom. The magnetic moment comes out at 0.00 μB per formula unit. The calculation puts the excess energy over the best structure of this formula in the dataset at 0.000 eV per atom. As for the energy relative to the elements, uncorrected: -613 meV/atom.

***

(4)
Material: PaTeC
Method: DFT, PBE
State: relaxed

a = 4.072 Å, b = 4.072 Å, c = 7.557 Å
α = 90.00°, β = 90.00°, γ = 90.00°
Positions (direct):
Pa: 0.250 0.250 0.154
Pa: 0.750 0.750 0.846
Te: 0.250 0.250 0.639
Te: 0.750 0.750 0.361
C: 0.250 0.750 0.000
C: 0.750 0.250 0.000

Summary:
As for the density: 9.824 g/cm3. The value obtained for the density of states at the Fermi level is 1.1709 states/eV per atom. For the total energy, the calculation gives -7.785 eV per atom. The magnetic moment comes out at 0.00 μB per formula unit. The calculation puts the excess energy over the best structure of this formula in the dataset at 0.000 eV per atom. As for the energy relative to the elements, uncorrected: -498 meV/atom.

***

(5)
Material: Pa2TeC2
Method: DFT, PBE
State: relaxed

a = 7.357 Å, b = 6.553 Å, c = 6.311 Å
α = 69.74°, β = 56.67°, γ = 53.59°
Positions (direct):
Pa: 0.061 0.689 0.061
Pa: 0.311 0.939 0.311
Pa: 0.689 0.061 0.689
Pa: 0.939 0.311 0.939
Te: 0.375 0.375 0.375
Te: 0.625 0.625 0.625
C: 0.008 0.008 0.742
C: 0.258 0.258 0.992
C: 0.742 0.742 0.008
C: 0.992 0.992 0.258

Summary:
As for the density: 9.966 g/cm3. For the total energy, the calculation gives -8.607 eV per atom. The magnetic moment comes out at 0.00 μB per formula unit. As for the energy relative to the elements, uncorrected: -491 meV/atom.

***

(6)
Material: PaTiTe2C
Method: DFT, PBE
State: relaxed

a = 3.974 Å, b = 3.974 Å, c = 14.061 Å
α = 90.00°, β = 90.00°, γ = 90.00°
Positions (direct):
Pa: 0.250 0.250 0.083
Pa: 0.750 0.750 0.917
Ti: 0.250 0.250 0.582
Ti: 0.750 0.750 0.418
Te: 0.250 0.250 0.385
Te: 0.250 0.250 0.787
Te: 0.750 0.750 0.213
Te: 0.750 0.750 0.615
C: 0.250 0.750 0.000
C: 0.750 0.250 0.000

Summary:
As for the density: 8.166 g/cm3. The value obtained for the density of states at the Fermi level is 0.7038 states/eV per atom. For the total energy, the calculation gives -7.184 eV per atom. The magnetic moment comes out at 0.00 μB per formula unit. As for the energy relative to the elements, uncorrected: -604 meV/atom.

***

(7)
Material: TmPaTeC
Method: DFT, PBE
State: relaxed

a = 3.714 Å, b = 3.714 Å, c = 21.597 Å
α = 90.00°, β = 90.00°, γ = 120.00°
Positions (direct):
Tm: 0.000 0.000 0.000
Tm: 0.333 0.667 0.667
Tm: 0.667 0.333 0.333
Pa: 0.000 0.000 0.210
Pa: 0.333 0.667 0.877
Pa: 0.667 0.333 0.544
Te: 0.000 0.000 0.436
Te: 0.333 0.667 0.103
Te: 0.667 0.333 0.770
C: 0.000 0.000 0.604
C: 0.333 0.667 0.270
C: 0.667 0.333 0.937

Summary:
As for the density: 10.421 g/cm3. The value obtained for the density of states at the Fermi level is 0.8914 states/eV per atom. For the total energy, the calculation gives -7.311 eV per atom. The magnetic moment comes out at 0.15 μB per formula unit. As for the energy relative to the elements, uncorrected: -728 meV/atom.

***

(8)
Material: TmPaTe2C
Method: DFT, PBE
State: relaxed

a = 4.134 Å, b = 4.134 Å, c = 15.564 Å
α = 90.00°, β = 90.00°, γ = 90.00°
Positions (direct):
Tm: 0.250 0.250 0.129
Tm: 0.750 0.750 0.871
Pa: 0.250 0.250 0.570
Pa: 0.750 0.750 0.430
Te: 0.250 0.250 0.314
Te: 0.250 0.250 0.915
Te: 0.750 0.750 0.085
Te: 0.750 0.750 0.686
C: 0.250 0.750 0.500
C: 0.750 0.250 0.500

Summary:
As for the density: 8.332 g/cm3. The value obtained for the density of states at the Fermi level is 0.3707 states/eV per atom. For the total energy, the calculation gives -6.817 eV per atom. The magnetic moment comes out at 0.00 μB per formula unit. As for the energy relative to the elements, uncorrected: -922 meV/atom.